An optimized crystal structure of Sm2ErIn3. Source: the Alexandria database, functional GGA-PBE.

DFT formation energy	-39	kJ per mole of atoms
total moment	0.00	Bohr magnetons per cell
energy relative to the lowest polymorph listed for this composition	68	meV/atom
N(E_F)	9.33	states/eV per cell

```
Sm2ErIn3
1.0
-2.175 -5.296 3.050
1.070 -3.504 -5.321
8.119 2.141 2.608
Sm Er In
4 2 6
Cartesian
2.210 -4.293 -0.554
1.179 -3.749 2.802
5.836 -2.910 -2.464
4.805 -2.366 0.891
-1.082 -7.218 -1.347
-0.022 -1.582 -0.924
-1.110 -4.230 0.601
0.005 -4.570 -2.872
2.032 -0.946 1.403
3.945 -5.187 2.301
3.070 -1.472 -1.964
4.983 -5.713 -1.065
```